[1]
First-principles (PBE-GGA) data for InSbMo4C2 after structural relaxation, as listed in OQMD via LeMat-Bulk.

magnetic moment	0.01	μB per formula unit
total DFT energy (no corrections)	-8.5374	eV per atom
crystal system	hexagonal

Structure (CIF):
```
data_InSbMo4C2
_cell_length_a 3.1875
_cell_length_b 3.1875
_cell_length_c 13.5965
_cell_angle_alpha 90.00
_cell_angle_beta 90.00
_cell_angle_gamma 120.00
_symmetry_space_group_name_H-M 'P 1'
_symmetry_Int_Tables_number 1
_symmetry_space_group_name_Hall 'P 1'
loop_
_atom_site_label
_atom_site_type_symbol
_atom_site_fract_x
_atom_site_fract_y
_atom_site_fract_z
_atom_site_occupancy
Mo1 Mo 0.6667 0.3333 0.1729 1
Mo2 Mo 0.6667 0.3333 0.8271 1
C1 C 0.3333 0.6667 0.2533 1
In1 In 0.0000 0.0000 0.0000 1
Sb1 Sb 0.6667 0.3333 0.5000 1
Mo3 Mo 0.0000 0.0000 0.3343 1
Mo4 Mo 0.0000 0.0000 0.6657 1
C2 C 0.3333 0.6667 0.7467 1
```

=====

[2]
First-principles (PBE-GGA) data for PrErSi2 after structural relaxation, as listed in OQMD via LeMat-Bulk.

magnetic moment	0.00	μB per formula unit
distance to the lowest polymorph of the same formula	0.000	eV per atom
crystal system	orthorhombic

Structure (CIF):
```
data_PrErSi2
_cell_length_a 3.8819
_cell_length_b 8.1029
_cell_length_c 5.8016
_cell_angle_alpha 90.00
_cell_angle_beta 90.00
_cell_angle_gamma 90.00
_symmetry_space_group_name_H-M 'P 1'
_symmetry_Int_Tables_number 1
_symmetry_space_group_name_Hall 'P 1'
loop_
_atom_site_label
_atom_site_type_symbol
_atom_site_fract_x
_atom_site_fract_y
_atom_site_fract_z
_atom_site_occupancy
Er1 Er 0.0000 0.9307 0.3851 1
Er2 Er 0.5000 0.0693 0.8851 1
Pr1 Pr 0.0000 0.4284 0.1136 1
Si1 Si 0.0000 0.2744 0.6265 1
Si2 Si 0.5000 0.7256 0.1265 1
Si3 Si 0.0000 0.7987 0.8748 1
Pr2 Pr 0.5000 0.5716 0.6136 1
Si4 Si 0.5000 0.2013 0.3748 1
```

=====

[3]
First-principles (PBE-GGA) data for HoUTl after structural relaxation, as listed in OQMD via LeMat-Bulk.

magnetic moment	4.00	μB per formula unit
distance to the lowest polymorph of the same formula	0.000	eV per atom
crystal system	cubic

Structure (CIF):
```
data_HoUTl
_cell_length_a 5.1693
_cell_length_b 5.1693
_cell_length_c 5.1693
_cell_angle_alpha 60.00
_cell_angle_beta 60.00
_cell_angle_gamma 60.00
_symmetry_space_group_name_H-M 'P 1'
_symmetry_Int_Tables_number 1
_symmetry_space_group_name_Hall 'P 1'
loop_
_atom_site_label
_atom_site_type_symbol
_atom_site_fract_x
_atom_site_fract_y
_atom_site_fract_z
_atom_site_occupancy
Ho1 Ho 0.2500 0.2500 0.2500 1
U1 U 0.7500 0.7500 0.7500 1
Tl1 Tl 0.0000 0.0000 0.0000 1
```

=====

[4]
First-principles (PBE-GGA) data for Zr4CoAsC2 after structural relaxation, as listed in OQMD via LeMat-Bulk.

magnetic moment	1.00	μB per formula unit
distance to the lowest polymorph of the same formula	0.000	eV per atom
crystal system	hexagonal

Structure (CIF):
```
data_Zr4CoAsC2
_cell_length_a 3.3902
_cell_length_b 3.3902
_cell_length_c 12.8588
_cell_angle_alpha 90.00
_cell_angle_beta 90.00
_cell_angle_gamma 120.00
_symmetry_space_group_name_H-M 'P 1'
_symmetry_Int_Tables_number 1
_symmetry_space_group_name_Hall 'P 1'
loop_
_atom_site_label
_atom_site_type_symbol
_atom_site_fract_x
_atom_site_fract_y
_atom_site_fract_z
_atom_site_occupancy
Zr1 Zr 0.0000 0.0000 0.3542 1
Co1 Co 0.3333 0.6667 0.5000 1
As1 As 0.0000 0.0000 0.0000 1
Zr2 Zr 0.0000 0.0000 0.6458 1
C1 C 0.6667 0.3333 0.7503 1
C2 C 0.6667 0.3333 0.2497 1
Zr3 Zr 0.3333 0.6667 0.8473 1
Zr4 Zr 0.3333 0.6667 0.1527 1
```

=====

[5]
First-principles (PBE-GGA) data for RbTbBeSe3 after structural relaxation, as listed in OQMD via LeMat-Bulk.

magnetic moment	0.00	μB per formula unit
total DFT energy (no corrections)	-4.7046	eV per atom
crystal system	orthorhombic

Structure (CIF):
```
data_RbTbBeSe3
_cell_length_a 7.9813
_cell_length_b 7.9813
_cell_length_c 10.9356
_cell_angle_alpha 90.00
_cell_angle_beta 90.00
_cell_angle_gamma 150.61
_symmetry_space_group_name_H-M 'P 1'
_symmetry_Int_Tables_number 1
_symmetry_space_group_name_Hall 'P 1'
loop_
_atom_site_label
_atom_site_type_symbol
_atom_site_fract_x
_atom_site_fract_y
_atom_site_fract_z
_atom_site_occupancy
Se1 Se 0.4468 0.5532 0.2500 1
Rb1 Rb 0.7592 0.2408 0.2500 1
Se2 Se 0.8818 0.1182 0.9208 1
Tb1 Tb 0.5000 0.5000 0.0000 1
Be1 Be 0.0385 0.9615 0.2500 1
Se3 Se 0.1182 0.8818 0.0792 1
Se4 Se 0.5532 0.4468 0.7500 1
Se5 Se 0.8818 0.1182 0.5792 1
Se6 Se 0.1182 0.8818 0.4208 1
Tb2 Tb 0.5000 0.5000 0.5000 1
Be2 Be 0.9615 0.0385 0.7500 1
Rb2 Rb 0.2408 0.7592 0.7500 1
```

=====

[6]
First-principles (PBE-GGA) data for AlAsIrO after structural relaxation, as listed in OQMD via LeMat-Bulk.

magnetic moment	0.03	μB per formula unit
distance to the lowest polymorph of the same formula	0.103	eV per atom
crystal system	tetragonal

Structure (CIF):
```
data_AlAsIrO
_cell_length_a 3.8483
_cell_length_b 3.8483
_cell_length_c 8.1790
_cell_angle_alpha 90.00
_cell_angle_beta 90.00
_cell_angle_gamma 90.00
_symmetry_space_group_name_H-M 'P 1'
_symmetry_Int_Tables_number 1
_symmetry_space_group_name_Hall 'P 1'
loop_
_atom_site_label
_atom_site_type_symbol
_atom_site_fract_x
_atom_site_fract_y
_atom_site_fract_z
_atom_site_occupancy
As1 As 0.2500 0.2500 0.6867 1
Ir1 Ir 0.7500 0.2500 0.5000 1
O1 O 0.2500 0.7500 0.0000 1
As2 As 0.7500 0.7500 0.3133 1
Ir2 Ir 0.2500 0.7500 0.5000 1
O2 O 0.7500 0.2500 0.0000 1
Al1 Al 0.7500 0.7500 0.9310 1
Al2 Al 0.2500 0.2500 0.0690 1
```

=====

[7]
First-principles (PBE-GGA) data for ZnPd8 after structural relaxation, as listed in OQMD via LeMat-Bulk.

ΔH_f (0 K)	0.106	eV per formula unit
crystal system	monoclinic

Structure (CIF):
```
data_ZnPd8
_cell_length_a 4.7994
_cell_length_b 4.7994
_cell_length_c 27.5596
_cell_angle_alpha 90.22
_cell_angle_beta 90.22
_cell_angle_gamma 47.23
_symmetry_space_group_name_H-M 'P 1'
_symmetry_Int_Tables_number 1
_symmetry_space_group_name_Hall 'P 1'
loop_
_atom_site_label
_atom_site_type_symbol
_atom_site_fract_x
_atom_site_fract_y
_atom_site_fract_z
_atom_site_occupancy
Zn1 Zn 0.9493 0.9493 0.7690 1
Pd1 Pd 0.3500 0.3500 0.5163 1
Pd2 Pd 0.0500 0.0500 0.5492 1
Zn2 Zn 0.0508 0.0508 0.2309 1
Pd3 Pd 0.5498 0.5498 0.7157 1
Pd4 Pd 0.1480 0.1480 0.6482 1
Pd5 Pd 0.8520 0.8520 0.3518 1
Pd6 Pd 0.8455 0.8455 0.6806 1
Pd7 Pd 0.4502 0.4502 0.2842 1
Pd8 Pd 0.2497 0.2497 0.4180 1
Pd9 Pd 0.7503 0.7503 0.5820 1
Pd10 Pd 0.7494 0.7494 0.2504 1
Pd11 Pd 0.2506 0.2506 0.7496 1
Pd12 Pd 0.9500 0.9500 0.4508 1
Pd13 Pd 0.1545 0.1545 0.3194 1
Pd14 Pd 0.4502 0.4502 0.6152 1
Pd15 Pd 0.6501 0.6501 0.4837 1
Pd16 Pd 0.5498 0.5498 0.3848 1
```

=====

[8]
First-principles (PBE-GGA) data for TmIrNO after structural relaxation, as listed in OQMD via LeMat-Bulk.

magnetic moment	0.01	μB per formula unit
distance to the lowest polymorph of the same formula	0.722	eV per atom
crystal system	tetragonal

Structure (CIF):
```
data_TmIrNO
_cell_length_a 4.8384
_cell_length_b 4.8384
_cell_length_c 4.2509
_cell_angle_alpha 90.00
_cell_angle_beta 90.00
_cell_angle_gamma 90.00
_symmetry_space_group_name_H-M 'P 1'
_symmetry_Int_Tables_number 1
_symmetry_space_group_name_Hall 'P 1'
loop_
_atom_site_label
_atom_site_type_symbol
_atom_site_fract_x
_atom_site_fract_y
_atom_site_fract_z
_atom_site_occupancy
Ir1 Ir 0.5000 0.5000 0.9966 1
O1 O 0.0000 0.5000 0.0000 1
N1 N 0.5000 0.5000 0.4965 1
N2 N 0.0000 0.0000 0.5035 1
O2 O 0.5000 0.0000 0.0000 1
Ir2 Ir 0.0000 0.0000 0.0034 1
Tm1 Tm 0.5000 0.0000 0.5000 1
Tm2 Tm 0.0000 0.5000 0.5000 1
```

=====

[9]
First-principles (PBE-GGA) data for Cs2MoSe4 after structural relaxation, as listed in OQMD via LeMat-Bulk.

magnetic moment	0.00	μB per formula unit
distance to the lowest polymorph of the same formula	0.026	eV per atom
crystal system	monoclinic

Structure (CIF):
```
data_Cs2MoSe4
_cell_length_a 8.8526
_cell_length_b 8.8526
_cell_length_c 10.6570
_cell_angle_alpha 115.84
_cell_angle_beta 115.84
_cell_angle_gamma 50.23
_symmetry_space_group_name_H-M 'P 1'
_symmetry_Int_Tables_number 1
_symmetry_space_group_name_Hall 'P 1'
loop_
_atom_site_label
_atom_site_type_symbol
_atom_site_fract_x
_atom_site_fract_y
_atom_site_fract_z
_atom_site_occupancy
Se1 Se 0.8541 0.8541 0.1068 1
Cs1 Cs 0.1465 0.1465 0.2778 1
Se2 Se 0.6243 0.1223 0.4338 1
Cs2 Cs 0.4111 0.4111 0.1746 1
Mo1 Mo 0.8114 0.8114 0.2893 1
Cs3 Cs 0.8535 0.8535 0.7222 1
Se3 Se 0.8777 0.3757 0.5662 1
Mo2 Mo 0.1886 0.1886 0.7107 1
Se4 Se 0.1223 0.6243 0.4338 1
Se5 Se 0.1459 0.1459 0.8932 1
Se6 Se 0.6450 0.6450 0.1936 1
Cs4 Cs 0.5889 0.5889 0.8254 1
Se7 Se 0.3550 0.3550 0.8064 1
Se8 Se 0.3757 0.8777 0.5662 1
```

=====

[10]
First-principles (PBE-GGA) data for Dy2ErMg3Ir2Pt after structural relaxation, as listed in OQMD via LeMat-Bulk.

magnetic moment	0.01	μB per formula unit
total DFT energy (no corrections)	-5.4785	eV per atom
crystal system	orthorhombic

Structure (CIF):
```
data_Dy2ErMg3Ir2Pt
_cell_length_a 4.0317
_cell_length_b 7.3020
_cell_length_c 7.3020
_cell_angle_alpha 120.00
_cell_angle_beta 90.00
_cell_angle_gamma 90.00
_symmetry_space_group_name_H-M 'P 1'
_symmetry_Int_Tables_number 1
_symmetry_space_group_name_Hall 'P 1'
loop_
_atom_site_label
_atom_site_type_symbol
_atom_site_fract_x
_atom_site_fract_y
_atom_site_fract_z
_atom_site_occupancy
Pt1 Pt 0.0000 0.0002 0.0002 1
Dy1 Dy 0.0000 0.5866 0.0000 1
Er1 Er 0.0000 0.4133 0.4133 1
Mg1 Mg 0.5000 0.2473 0.0001 1
Ir1 Ir 0.5000 0.6664 0.3334 1
Mg2 Mg 0.5000 0.7526 0.7526 1
Mg3 Mg 0.5000 0.0001 0.2473 1
Dy2 Dy 0.0000 0.0000 0.5866 1
Ir2 Ir 0.5000 0.3334 0.6664 1
```

=====

[11]
First-principles (PBE-GGA) data for PrHfSn2Au2 after structural relaxation, as listed in OQMD via LeMat-Bulk.

magnetic moment	0.00	μB per formula unit
total DFT energy (no corrections)	-5.4570	eV per atom
crystal system	trigonal

Structure (CIF):
```
data_PrHfSn2Au2
_cell_length_a 4.6877
_cell_length_b 4.6877
_cell_length_c 7.3329
_cell_angle_alpha 90.00
_cell_angle_beta 90.00
_cell_angle_gamma 120.00
_symmetry_space_group_name_H-M 'P 1'
_symmetry_Int_Tables_number 1
_symmetry_space_group_name_Hall 'P 1'
loop_
_atom_site_label
_atom_site_type_symbol
_atom_site_fract_x
_atom_site_fract_y
_atom_site_fract_z
_atom_site_occupancy
Au1 Au 0.3333 0.6667 0.0790 1
Au2 Au 0.6667 0.3333 0.4217 1
Hf1 Hf 0.0000 0.0000 0.2498 1
Pr1 Pr 0.0000 0.0000 0.7499 1
Sn1 Sn 0.6667 0.3333 0.0000 1
Sn2 Sn 0.3333 0.6667 0.4995 1
```